Record 1
DFT (PBE) results for a relaxed structure of PBr2.

Properties
Formation energy (no corrections) ... 118 meV per atom
Space group ... Cm
Volume ... 206 Å³ per cell

Lattice parameters (Å, degrees): 6.593 6.593 9.679 73.35 73.35 30.90
Sites, in units of the cell vectors:
P: 0.235 0.235 0.830
P: 0.859 0.859 0.795
Br: 0.712 0.712 0.627
Br: 0.890 0.890 0.018
Br: 0.476 0.476 0.354
Br: 0.662 0.662 0.208

***

Record 2
DFT (PBE) results for a relaxed structure of PrMg2Pd.

Properties
Space group ... R-3m
Formation energy from the elements ... -286 meV per atom
Volume ... 97 Å³ per cell

Lattice parameters (Å, degrees): 4.532 4.532 6.028 67.92 67.92 60.00
Sites, in units of the cell vectors:
Pr: 0.000 0.000 0.000
Pd: 0.500 0.500 0.500
Mg: 0.789 0.789 0.632
Mg: 0.211 0.211 0.368

***

Please write out number 2 again, unchanged.
DFT (PBE) results for a relaxed structure of PrMg2Pd.

Properties
Space group ... R-3m
Formation energy from the elements ... -286 meV per atom
Volume ... 97 Å³ per cell

Lattice parameters (Å, degrees): 4.532 4.532 6.028 67.92 67.92 60.00
Sites, in units of the cell vectors:
Pr: 0.000 0.000 0.000
Pd: 0.500 0.500 0.500
Mg: 0.789 0.789 0.632
Mg: 0.211 0.211 0.368

***

- Which formula does entry 2 have?
  PrMg2Pd

***

- Among the records above, which one has the highest volume?
  PBr2